Entry 1:
This record from Alexandria describes a geometry-optimized RbLa2TcF structure. The functional is GGA-PBE.

Output
- V: 25.9 Å³/atom
- Space-group type: No. 123
- Energy relative to the elements, uncorrected: -0.287 eV/atom

Geometry as extended XYZ:
```
5
Lattice="5.1441 0.0000 0.0000 0.0000 5.1441 0.0000 0.0000 0.0000 4.8900" Properties=species:S:1:pos:R:3 pbc="T T T"
Rb 0.0000 0.0000 0.0000
La 0.0000 2.5721 2.4450
La 2.5721 0.0000 2.4450
Tc 2.5721 2.5721 0.0000
F 0.0000 0.0000 2.4450
```


Entry 2:
This record from Alexandria describes a geometry-optimized Rb2LaTcF6 structure. The functional is GGA-PBE.

Output
- V: 19.1 Å³/atom
- Space-group type: No. 225
- Energy relative to the elements, uncorrected: -2.486 eV/atom

Geometry as extended XYZ:
```
10
Lattice="0.0000 4.5728 4.5728 4.5728 0.0000 4.5728 4.5728 4.5728 0.0000" Properties=species:S:1:pos:R:3 pbc="T T T"
Rb 2.2864 2.2864 2.2864
Rb 6.8591 6.8591 6.8591
La 0.0000 0.0000 0.0000
Tc 4.5728 4.5728 4.5728
F 4.5728 4.5728 2.3192
F 4.5728 2.3192 4.5728
F 6.8263 4.5728 4.5728
F 2.3192 4.5728 4.5728
F 4.5728 6.8263 4.5728
F 4.5728 4.5728 6.8263
```


Entry 3:
This record from Alexandria describes a geometry-optimized RbLaTiF2 structure. The functional is GGA-PBE.

Output
- V: 21.4 Å³/atom
- Space-group type: No. 123
- Energy relative to the elements, uncorrected: -0.852 eV/atom

Geometry as extended XYZ:
```
5
Lattice="4.5511 0.0000 0.0000 0.0000 4.5511 0.0000 0.0000 0.0000 5.1675" Properties=species:S:1:pos:R:3 pbc="T T T"
Rb 0.0000 0.0000 0.0000
La 2.2755 2.2755 0.0000
Ti 2.2755 2.2755 2.5837
F 0.0000 2.2755 2.5837
F 2.2755 0.0000 2.5837
```


Entry 4:
This record from Alexandria describes a geometry-optimized Rb2LaTiF6 structure. The functional is GGA-PBE.

Output
- V: 19.3 Å³/atom
- Space-group type: No. 225
- Energy relative to the elements, uncorrected: -2.926 eV/atom

Geometry as extended XYZ:
```
10
Lattice="0.0000 4.5883 4.5883 4.5883 0.0000 4.5883 4.5883 4.5883 0.0000" Properties=species:S:1:pos:R:3 pbc="T T T"
Rb 2.2942 2.2942 2.2942
Rb 6.8825 6.8825 6.8825
La 0.0000 0.0000 0.0000
Ti 4.5883 4.5883 4.5883
F 4.5883 4.5883 2.3710
F 4.5883 2.3710 4.5883
F 6.8056 4.5883 4.5883
F 2.3710 4.5883 4.5883
F 4.5883 6.8056 4.5883
F 4.5883 4.5883 6.8056
```


Question: Which value of energy relative to the elements, uncorrected does entry 2 give?
Answer: -2.486 eV/atom


Question: Which of these has the highest V?
Answer: RbLa2TcF


Question: Among the records above, which one has the lowest V?
Answer: Rb2LaTcF6


Question: Among the records above, which one has the lowest V?
Answer: Rb2LaTcF6